Record 1
Computed, not measured: an optimized crystal structure of ZrPC3 at the PBE-GGA level of DFT.

Values from the calculation:
Space group: Pm-3m
E above lowest polymorph, meV per atom: 1434
Formation energy from the elements, meV/atom: 2598
Crystal system: cubic

abc: 4.329 4.329 4.329
angles: 90.00 90.00 90.00
Fractional coordinates of all 5 atoms:
Zr: 0.000 0.000 0.000
P: 0.500 0.500 0.500
C: 0.000 0.000 0.500
C: 0.000 0.500 0.000
C: 0.500 0.000 0.000



Record 2
Computed, not measured: an optimized crystal structure of CaTlSeN2 at the PBE-GGA level of DFT.

Values from the calculation:
Space group: P4/mmm
E above lowest polymorph, meV per atom: 90
Crystal system: tetragonal

abc: 4.708 4.708 5.829
angles: 90.00 90.00 90.00
Fractional coordinates of all 5 atoms:
Ca: 0.000 0.000 0.000
Tl: 0.500 0.500 0.500
Se: 0.000 0.000 0.500
N: 0.000 0.500 0.000
N: 0.500 0.000 0.000



Record 3
Computed, not measured: an optimized crystal structure of BaLi2SnPb2 at the PBE-GGA level of DFT.

Values from the calculation:
Space group: P4/mmm
Formation energy from the elements, meV/atom: -225
Crystal system: tetragonal

abc: 5.115 5.115 6.857
angles: 90.00 90.00 90.00
Fractional coordinates of all 6 atoms:
Ba: 0.000 0.000 0.000
Li: 0.000 0.500 0.500
Li: 0.500 0.000 0.500
Sn: 0.000 0.000 0.500
Pb: 0.500 0.500 0.237
Pb: 0.500 0.500 0.763



| no. | V (Å³/atom) | E (eV for the cell shown) |
| --- | --- | --- |
| 1 | 16.2 | -28.64 |
| 2 | 25.8 | -19.68 |
| 3 | 29.9 | -18.52 |